(1)
{"formula": "NdDyTh2", "functional": "PBE", "state": "optimized geometry", "lattice": [[-5.953, -8.172, -3.752], [10.338, -1.093, -2.868], [1.340, -3.183, 0.803]], "species": ["Th", "Th", "Th", "Th", "Dy", "Dy", "Nd", "Nd"], "frac_coords": [[0.256, 0.421, 0.868], [0.744, 0.579, 0.132], [0.421, 0.256, 0.368], [0.579, 0.744, 0.632], [0.914, 0.086, 0.250], [0.086, 0.914, 0.750], [0.000, 0.500, 0.500], [0.500, 0.000, 0.000]], "relative_energy_mev_per_atom": 229.0, "final_energy_ev_per_atom": -5.794}

***

(2)
{"formula": "FeBPAuC2", "functional": "PBE", "state": "optimized geometry", "lattice": [[2.746, -0.001, 0.000], [-1.361, 4.524, 0.000], [-0.006, -1.249, 5.211]], "species": ["C", "C", "Au", "Fe", "B", "P"], "frac_coords": [[0.459, 0.320, 0.752], [0.021, 0.442, 0.202], [0.266, 0.942, 0.187], [0.575, 0.552, 0.463], [0.993, 0.388, 0.906], [0.253, 0.909, 0.701]], "relative_energy_mev_per_atom": 155.0, "final_energy_ev_per_atom": -6.579}

***

(3)
{"formula": "Mg2SbPd2", "functional": "PBE", "state": "optimized geometry", "lattice": [[-2.604, 2.397, -7.034], [-6.877, -3.601, 1.319], [-1.079, 2.521, 1.259]], "species": ["Sb", "Sb", "Mg", "Mg", "Mg", "Mg", "Pd", "Pd", "Pd", "Pd"], "frac_coords": [[0.000, 0.000, 0.000], [0.500, 0.500, 0.000], [0.135, 0.365, 0.000], [0.365, 0.865, 0.000], [0.635, 0.135, 0.000], [0.865, 0.635, 0.000], [0.156, 0.656, 0.500], [0.344, 0.156, 0.500], [0.844, 0.344, 0.500], [0.656, 0.844, 0.500]], "relative_energy_mev_per_atom": 143.6, "formation_energy_uncorrected_ev_per_atom": -0.42, "final_energy_ev_per_atom": -3.961}

***

(4)
{"formula": "YBi2Ru", "functional": "PBE", "state": "optimized geometry", "lattice": [[0.000, 3.624, 3.624], [3.624, 0.000, 3.624], [3.624, 3.624, 0.000]], "species": ["Bi", "Bi", "Y", "Ru"], "frac_coords": [[0.750, 0.750, 0.750], [0.250, 0.250, 0.250], [0.000, 0.000, 0.000], [0.500, 0.500, 0.500]], "relative_energy_mev_per_atom": 0.0, "final_energy_ev_per_atom": -5.890}

***

Copy entry 1 word for word.
{"formula": "NdDyTh2", "functional": "PBE", "state": "optimized geometry", "lattice": [[-5.953, -8.172, -3.752], [10.338, -1.093, -2.868], [1.340, -3.183, 0.803]], "species": ["Th", "Th", "Th", "Th", "Dy", "Dy", "Nd", "Nd"], "frac_coords": [[0.256, 0.421, 0.868], [0.744, 0.579, 0.132], [0.421, 0.256, 0.368], [0.579, 0.744, 0.632], [0.914, 0.086, 0.250], [0.086, 0.914, 0.750], [0.000, 0.500, 0.500], [0.500, 0.000, 0.000]], "relative_energy_mev_per_atom": 229.0, "final_energy_ev_per_atom": -5.794}